1.
GdBeO3: optimized geometry, PBE-GGA.

Cell lengths 5.370, 5.370, 5.566 Å; angles 61.16, 61.16, 60.00 degrees
Each line ends with the local moment (μB).
Fractional coordinates of all 10 atoms:
Gd: 0.634 0.634 0.099  -0.01
Gd: 0.366 0.366 0.901  -0.01
O: 0.174 0.977 0.247  0.29
O: 0.398 0.826 0.753  0.29
O: 0.602 0.174 0.247  0.29
O: 0.023 0.398 0.753  0.28
O: 0.826 0.023 0.753  0.29
O: 0.977 0.602 0.247  0.28
Be: 0.102 0.102 0.694  -0.01
Be: 0.898 0.898 0.306  -0.01

Results
**SG**: R-3, No. 148
**Final energy**: -6.9834 eV/atom


2.
HfCuPbAu: optimized geometry, PBE-GGA.

Cell lengths 4.790, 4.790, 4.790 Å; angles 60.00, 60.00, 60.00 degrees
Fractional coordinates of all 4 atoms:
Cu: 0.750 0.750 0.750
Pb: 0.000 0.000 0.000
Au: 0.500 0.500 0.500
Hf: 0.250 0.250 0.250

Results
**SG**: F-43m, No. 216
**E above lowest polymorph**: 0.0000 eV/atom